Record 1
# CeGe2Sb

A geometry-optimized CeGe2Sb structure (PBE, Alexandria via LeMat-Bulk).

a = 4.935 Å, b = 4.935 Å, c = 7.367 Å
α = 70.43°, β = 70.43°, γ = 60.00°
Fractional coordinates of all 4 atoms:
Sb 0.000 0.000 0.000
Ge 0.126 0.126 0.623
Ge 0.874 0.874 0.377
Ce 0.500 0.500 0.500

Calculated values
Density of states at the Fermi level = 6.1 states/eV/f.u.
Crystal system = trigonal
ρ = 4.72 g cm⁻³
Calculated total energy = -4.5657 eV/atom
Offset from the most stable computed form = 0.777 eV/atom
ΔE_f (raw) = 0.2571 eV per atom

---

Record 2
# La2PmPr4Tm

A geometry-optimized La2PmPr4Tm structure (PBE, Alexandria via LeMat-Bulk).

a = 5.215 Å, b = 5.192 Å, c = 11.694 Å
α = 63.58°, β = 90.00°, γ = 90.00°
Fractional coordinates of all 8 atoms:
La 0.000 0.000 0.000
La 0.500 0.000 0.500
Pm 0.500 0.500 0.000
Pr 0.000 0.753 0.747
Pr 0.000 0.247 0.253
Pr 0.500 0.748 0.252
Pr 0.500 0.252 0.748
Tm 0.000 0.500 0.500

Calculated values
Density of states at the Fermi level = 13.5 states/eV/f.u.
ΔH_f (0 K) = 0.02 eV/atom
Crystal system = monoclinic
ρ = 6.77 g cm⁻³
Calculated total energy = -4.7555 eV/atom

---

Record 3
# Pr5AlHg4

A geometry-optimized Pr5AlHg4 structure (PBE, Alexandria via LeMat-Bulk).

a = 3.832 Å, b = 3.832 Å, c = 19.352 Å
α = 90.00°, β = 90.00°, γ = 90.00°
Fractional coordinates of all 10 atoms:
Pr 0.500 0.500 0.094
Pr 0.500 0.500 0.297
Pr 0.500 0.500 0.500
Pr 0.500 0.500 0.703
Pr 0.500 0.500 0.906
Al 0.000 0.000 0.000
Hg 0.000 0.000 0.195
Hg 0.000 0.000 0.399
Hg 0.000 0.000 0.601
Hg 0.000 0.000 0.805

Calculated values
Density of states at the Fermi level = 10.9 states/eV/f.u.
ΔH_f (0 K) = -0.44 eV/atom
Crystal system = tetragonal
ρ = 8.96 g cm⁻³
Calculated total energy = -3.3258 eV/atom

---

Record 4
# MoAsH2Br

A geometry-optimized MoAsH2Br structure (PBE, Alexandria via LeMat-Bulk).

a = 3.893 Å, b = 5.371 Å, c = 3.893 Å
α = 90.00°, β = 90.00°, γ = 90.00°
Fractional coordinates of all 5 atoms:
H 0.000 0.000 0.500
H 0.500 0.000 0.000
Mo 0.000 0.000 0.000
As 0.500 0.500 0.500
Br 0.000 0.500 0.000

Calculated values
Density of states at the Fermi level = 2.7 states/eV/f.u.
Crystal system = tetragonal
ρ = 5.16 g cm⁻³
Calculated total energy = -3.9187 eV/atom

---

Record 5
# PuAl2Sn

A geometry-optimized PuAl2Sn structure (PBE, Alexandria via LeMat-Bulk).

a = 4.983 Å, b = 4.983 Å, c = 4.983 Å
α = 60.00°, β = 60.00°, γ = 60.00°
Fractional coordinates of all 4 atoms:
Al 0.750 0.750 0.750
Al 0.250 0.250 0.250
Sn 0.500 0.500 0.500
Pu 0.000 0.000 0.000

Calculated values
Density of states at the Fermi level = 9.4 states/eV/f.u.
ΔH_f (0 K) = 0.00 eV/atom
Crystal system = cubic
ρ = 7.91 g cm⁻³
Calculated total energy = -6.4570 eV/atom
Offset from the most stable computed form = 0.294 eV/atom

---

Record 6
# CdGa6Ag8

A geometry-optimized CdGa6Ag8 structure (PBE, Alexandria via LeMat-Bulk).

a = 6.830 Å, b = 6.830 Å, c = 6.830 Å
α = 74.40°, β = 74.40°, γ = 74.40°
Fractional coordinates of all 15 atoms:
Cd 0.000 0.000 0.000
Ga 0.635 0.434 0.831
Ga 0.434 0.831 0.635
Ga 0.831 0.635 0.434
Ga 0.365 0.566 0.169
Ga 0.566 0.169 0.365
Ga 0.169 0.365 0.566
Ag 0.794 0.794 0.794
Ag 0.206 0.206 0.206
Ag 0.561 0.860 0.191
Ag 0.860 0.191 0.561
Ag 0.191 0.561 0.860
Ag 0.439 0.140 0.809
Ag 0.140 0.809 0.439
Ag 0.809 0.439 0.140

Calculated values
Density of states at the Fermi level = 3.7 states/eV/f.u.
ΔH_f (0 K) = 0.04 eV/atom
Crystal system = trigonal
ρ = 8.01 g cm⁻³
Calculated total energy = -2.7486 eV/atom
Offset from the most stable computed form = 0.000 eV/atom

---

Record 7
# TbPuInAu

A geometry-optimized TbPuInAu structure (PBE, Alexandria via LeMat-Bulk).

a = 5.262 Å, b = 5.262 Å, c = 5.262 Å
α = 60.00°, β = 60.00°, γ = 60.00°
Fractional coordinates of all 4 atoms:
Tb 0.750 0.750 0.750
In 0.500 0.500 0.500
Au 0.000 0.000 0.000
Pu 0.250 0.250 0.250

Calculated values
Density of states at the Fermi level = 10.1 states/eV/f.u.
ΔH_f (0 K) = -0.38 eV/atom
Crystal system = cubic
ρ = 11.52 g cm⁻³
Calculated total energy = -6.6216 eV/atom

---

Record 8
# CaFeCl2

A geometry-optimized CaFeCl2 structure (PBE, Alexandria via LeMat-Bulk).

a = 5.155 Å, b = 5.155 Å, c = 7.803 Å
α = 70.71°, β = 70.71°, γ = 90.00°
Fractional coordinates of all 8 atoms:
Ca 0.500 0.500 0.000
Ca 0.250 0.750 0.500
Fe 0.000 0.000 0.000
Fe 0.750 0.250 0.500
Cl 0.688 0.125 0.250
Cl 0.062 0.625 0.250
Cl 0.375 0.312 0.750
Cl 0.875 0.938 0.750

Calculated values
Density of states at the Fermi level = 3.4 states/eV/f.u.
Crystal system = tetragonal
ρ = 3.02 g cm⁻³
Calculated total energy = -4.2203 eV/atom
Offset from the most stable computed form = 0.144 eV/atom
ΔE_f (raw) = -0.6809 eV per atom

---

Record 9
# CsSbF5

A geometry-optimized CsSbF5 structure (PBE, Alexandria via LeMat-Bulk).

a = 6.281 Å, b = 6.292 Å, c = 8.925 Å
α = 98.42°, β = 110.29°, γ = 107.21°
Fractional coordinates of all 14 atoms:
Cs 0.756 0.550 0.304
Cs 0.244 0.450 0.696
Sb 0.000 0.000 0.000
Sb 0.500 0.000 0.500
F 0.858 0.210 0.060
F 0.241 0.949 0.605
F 0.654 0.363 0.605
F 0.194 0.039 0.235
F 0.739 0.745 0.000
F 0.261 0.255 0.000
F 0.806 0.961 0.765
F 0.346 0.637 0.395
F 0.759 0.051 0.395
F 0.142 0.790 0.940

Calculated values
Crystal system = triclinic
ρ = 3.82 g cm⁻³
Calculated total energy = -4.5446 eV/atom
ΔE_f (raw) = -2.4971 eV per atom

---

Record 10
# Ca4TlHg2

A geometry-optimized Ca4TlHg2 structure (PBE, Alexandria via LeMat-Bulk).

a = 5.352 Å, b = 5.352 Å, c = 9.324 Å
α = 73.32°, β = 73.32°, γ = 60.00°
Fractional coordinates of all 7 atoms:
Ca 0.874 0.874 0.378
Ca 0.126 0.126 0.622
Ca 0.623 0.623 0.131
Ca 0.377 0.377 0.869
Tl 0.000 0.000 0.000
Hg 0.751 0.751 0.748
Hg 0.249 0.249 0.252

Calculated values
Density of states at the Fermi level = 4.3 states/eV/f.u.
ΔH_f (0 K) = -0.43 eV/atom
Crystal system = trigonal
ρ = 5.83 g cm⁻³
Calculated total energy = -1.9932 eV/atom

---

Record 11
# AcY2Mg6

A geometry-optimized AcY2Mg6 structure (PBE, Alexandria via LeMat-Bulk).

a = 3.492 Å, b = 9.141 Å, c = 9.141 Å
α = 120.00°, β = 90.00°, γ = 90.00°
Fractional coordinates of all 9 atoms:
Ac 0.000 0.000 0.000
Y 0.000 0.333 0.667
Y 0.000 0.667 0.333
Mg 0.500 0.341 0.341
Mg 0.500 0.659 0.659
Mg 0.500 0.000 0.659
Mg 0.500 0.659 0.000
Mg 0.500 0.341 0.000
Mg 0.500 0.000 0.341

Calculated values
Density of states at the Fermi level = 10.0 states/eV/f.u.
ΔH_f (0 K) = -0.06 eV/atom
Crystal system = hexagonal
ρ = 3.62 g cm⁻³
Calculated total energy = -3.0136 eV/atom

---

Record 12
# ZrPd

A geometry-optimized ZrPd structure (PBE, Alexandria via LeMat-Bulk).

a = 4.618 Å, b = 4.618 Å, c = 5.412 Å
α = 90.00°, β = 90.00°, γ = 120.00°
Fractional coordinates of all 4 atoms:
Zr 0.333 0.667 0.250
Zr 0.667 0.333 0.750
Pd 0.333 0.667 0.750
Pd 0.667 0.333 0.250

Calculated values
Density of states at the Fermi level = 1.4 states/eV/f.u.
ΔH_f (0 K) = -0.01 eV/atom
Crystal system = hexagonal
ρ = 6.57 g cm⁻³
Calculated total energy = -6.8770 eV/atom